VASP calculation (PBE-GGA) on a geometry-optimized Mg2CoIrRu structure.

Computed properties:
total energy = -24.16 eV/cell
energy of formation = 412 kJ/mol of formula units

abc: 4.486 4.486 4.280
angles: 90.00 90.00 90.00
Space group P4/mmm (No. 123)
Asymmetric unit:
Mg  0.000  0.500  0.000 x2
Co  0.000  0.000  0.000 x1
Ir  0.500  0.500  0.500 x1
Ru  0.000  0.000  0.500 x1

=====

VASP calculation (PBE-GGA) on a geometry-optimized MgCoSbIr structure.

Computed properties:
total energy = -88.90 eV/cell
raw formation energy = -135 meV/atom

abc: 6.288 6.288 6.288
angles: 90.00 90.00 90.00
Space group F-43m (No. 216)
Asymmetric unit:
Mg  0.000  0.000  0.000 x4
Co  0.250  0.250  0.750 x4
Sb  0.000  0.000  0.500 x4
Ir  0.250  0.250  0.250 x4

=====

VASP calculation (PBE-GGA) on a geometry-optimized MgCoTcIr structure.

Computed properties:
total energy = -111.06 eV/cell
energy of formation = 16 kJ/mol of formula units

abc: 6.109 6.109 6.109
angles: 90.00 90.00 90.00
Space group F-43m (No. 216)
Asymmetric unit:
Mg  0.000  0.000  0.000 x4
Co  0.250  0.250  0.250 x4
Tc  0.000  0.000  0.500 x4
Ir  0.250  0.250  0.750 x4

=====

VASP calculation (PBE-GGA) on a geometry-optimized TmMgCoIr structure.

Computed properties:
total energy = -93.55 eV/cell
energy of formation = -131 kJ/mol of formula units

abc: 6.436 6.436 6.436
angles: 90.00 90.00 90.00
Space group F-43m (No. 216)
Asymmetric unit:
Tm  0.000  0.000  0.000 x4
Mg  0.000  0.000  0.500 x4
Co  0.250  0.250  0.750 x4
Ir  0.250  0.250  0.250 x4

=====

VASP calculation (PBE-GGA) on a geometry-optimized MgUCoIr structure.

Computed properties:
total energy = -118.91 eV/cell
energy of formation = -85 kJ/mol of formula units

abc: 6.500 6.500 6.500
angles: 90.00 90.00 90.00
Space group F-43m (No. 216)
Asymmetric unit:
Mg  0.000  0.000  0.000 x4
U  0.000  0.000  0.500 x4
Co  0.250  0.250  0.250 x4
Ir  0.250  0.250  0.750 x4

=====

VASP calculation (PBE-GGA) on a geometry-optimized MgZnCoIr structure.

Computed properties:
total energy = -76.97 eV/cell
energy of formation = -39 kJ/mol of formula units

abc: 6.076 6.076 6.076
angles: 90.00 90.00 90.00
Space group F-43m (No. 216)
Asymmetric unit:
Mg  0.000  0.000  0.000 x4
Zn  0.250  0.250  0.750 x4
Co  0.250  0.250  0.250 x4
Ir  0.000  0.000  0.500 x4

=====

VASP calculation (PBE-GGA) on a geometry-optimized MgZrCoIr2 structure.

Computed properties:
total energy = -29.52 eV/cell
energy of formation = 525 kJ/mol of formula units

abc: 4.889 4.889 4.553
angles: 90.00 90.00 90.00
Space group P4/mmm (No. 123)
Asymmetric unit:
Mg  0.000  0.000  0.000 x1
Zr  0.500  0.500  0.500 x1
Co  0.500  0.500  0.000 x1
Ir  0.000  0.500  0.500 x2

=====

VASP calculation (PBE-GGA) on a geometry-optimized MnCo2Ir structure.

Computed properties:
total energy = -62.93 eV/cell
energy of formation = 75 kJ/mol of formula units
offset from the most stable computed form = 250 meV/atom

abc: 2.811 4.394 8.284
angles: 90.00 90.00 90.00
Space group Cmm2 (No. 35)
Asymmetric unit:
Mn  0.000  0.000  0.000 x2
Co  0.000  0.000  0.474 x2
Co  0.000  0.500  0.240 x2
Ir  0.000  0.500  0.739 x2